[1]
ZnTcPO | PBE-GGA | relaxed

```
4
Lattice="3.071 0.000 0.000 -1.535 2.660 0.000 0.000 0.000 6.585" Properties=species:S:1:pos:R:3 pbc="T T T"
Zn 0.000 0.000 0.000
Tc 0.000 1.773 2.164
P 1.535 0.887 3.603
O 1.535 0.887 5.191
```

symmetry = P3m1 (156)
total magnetic moment = 0.000 μB per atom
calculated volume = 13.44 Å³/atom
excess energy over the best structure of this formula in the dataset = 0.01 eV/f.u.

[2]
ZnTcPO | PBE-GGA | relaxed

```
4
Lattice="3.008 0.000 0.000 0.000 1.476 6.039 0.000 -1.476 6.039" Properties=species:S:1:pos:R:3 pbc="T T T"
Zn 0.000 0.000 0.000
Tc 1.504 0.000 4.156
P 0.000 0.000 9.078
O 0.000 0.000 7.491
```

symmetry = Amm2 (38)
total magnetic moment = 0.000 μB per atom
calculated volume = 13.41 Å³/atom
excess energy over the best structure of this formula in the dataset = 0.00 eV/f.u.

[3]
ZnTcPO | PBE-GGA | relaxed

```
4
Lattice="2.971 0.000 0.000 0.001 2.972 0.000 0.091 0.143 6.402" Properties=species:S:1:pos:R:3 pbc="T T T"
Zn 0.000 0.000 0.000
Tc 1.465 1.453 1.810
P 2.957 2.949 2.970
O 2.935 2.914 4.501
```

symmetry = P1 (1)
total magnetic moment = 0.000 μB per atom
calculated volume = 14.13 Å³/atom
excess energy over the best structure of this formula in the dataset = 0.12 eV/f.u.

Q: Among the records above, which one has the lowest calculated volume?
A: number 2

Q: What is the calculated volume in the first record?
A: 13.44 Å³/atom

Q: What is the formula in the second record?
A: ZnTcPO

Q: calculated volume of number 1 (ZnTcPO)?
A: 13.44 Å³/atom